1.
## LiTmZr2 (GGA-PBE)

Data for a relaxed structure of LiTmZr2.

Cell: 3.1678 3.1678 11.6051 Å, 82.16 82.16 60.00°
Fractional positions:
Zr: 0.9126 0.9126 0.2622
Zr: 0.0874 0.0874 0.7378
Tm: 0.5000 0.5000 0.5000
Li: 0.0000 0.0000 0.0000

Properties
Final energy ... -0.41163 Ry/atom
Magnetic moment ... 0.00 μB per formula unit

---

2.
## LiTm2Zr (GGA-PBE)

Data for a relaxed structure of LiTm2Zr.

Cell: 3.3408 3.3408 11.1211 Å, 81.36 81.36 60.00°
Fractional positions:
Zr: 0.0000 0.0000 0.0000
Li: 0.5000 0.5000 0.5000
Tm: 0.2535 0.2535 0.2394
Tm: 0.7465 0.7465 0.7606

Properties
Final energy ... -0.34911 Ry/atom
Magnetic moment ... 0.00 μB per formula unit

---

3.
## LiTm2Zr (GGA-PBE)

Data for a relaxed structure of LiTm2Zr.

Cell: 3.3496 3.3496 11.0854 Å, 81.31 81.31 60.00°
Fractional positions:
Tm: 0.2535 0.2535 0.2396
Tm: 0.0797 0.0797 0.7608
Li: 0.5002 0.5002 0.4995
Zr: 0.6666 0.6666 0.0001

Properties
Final energy ... -0.34906 Ry/atom
Magnetic moment ... 0.00 μB per formula unit

---

4.
## LiTm2Zr (GGA-PBE)

Data for a relaxed structure of LiTm2Zr.

Cell: 3.3985 3.3985 8.9044 Å, 90.00 90.00 90.00°
Fractional positions:
Tm: 0.0000 0.0000 0.2516
Tm: 0.0000 0.0000 0.7484
Zr: 0.5000 0.5000 0.5000
Li: 0.5000 0.5000 0.0000

Properties
Final energy ... -0.35176 Ry/atom
Magnetic moment ... 0.00 μB per formula unit

---

5.
## LiTm2Zr (GGA-PBE)

Data for a relaxed structure of LiTm2Zr.

Cell: 3.3974 5.4659 5.4659 Å, 90.00 90.00 90.00°
Fractional positions:
Zr: 0.5000 0.5000 0.5000
Tm: 0.0000 0.0000 0.5000
Tm: 0.0000 0.5000 0.0000
Li: 0.5000 0.0000 0.0000

Properties
Final energy ... -0.34295 Ry/atom
Magnetic moment ... 0.00 μB per formula unit

---

6.
## LiU (GGA-PBE)

Data for a relaxed structure of LiU.

Cell: 2.8270 2.8270 5.6783 Å, 90.00 90.00 120.00°
Last column: magnetic moment on the atom in μB.
Fractional positions:
U: 0.3333 0.6667 0.2500  1.02
Li: 0.6667 0.3333 0.7500  -0.01

Properties
Final energy ... -0.46022 Ry/atom
Magnetic moment ... 1.04 μB per formula unit

---

7.
## Li4U (GGA-PBE)

Data for a relaxed structure of Li4U.

Cell: 5.7835 5.7835 5.7835 Å, 90.00 90.00 90.00°
Last column: magnetic moment on the atom in μB.
Fractional positions:
Li: 0.5000 0.5000 0.0000  0.11
Li: 0.0000 0.0000 0.0000  -0.01
Li: 0.5000 0.0000 0.5000  0.11
Li: 0.0000 0.5000 0.5000  0.11
U: 0.5000 0.5000 0.5000  3.77

Properties
Final energy ... -0.17002 Ry/atom
Magnetic moment ... 5.60 μB per formula unit

---

8.
## LiUZn (GGA-PBE)

Data for a relaxed structure of LiUZn.

Cell: 5.4270 2.7255 23.1561 Å, 114.40 148.11 90.06°
Last column: magnetic moment on the atom in μB.
Fractional positions:
Li: 0.7769 0.7826 0.0097  -0.01
Li: 0.2231 0.2174 0.9903  -0.01
U: 0.6218 0.9679 0.6331  1.70
U: 0.3782 0.0321 0.3669  1.70
Zn: 0.3642 0.7068 0.7011  0.00
Zn: 0.6358 0.2932 0.2989  0.00

Properties
Final energy ... -0.34654 Ry/atom
Magnetic moment ... 1.73 μB per formula unit

---

9.
## LiUZn4 (GGA-PBE)

Data for a relaxed structure of LiUZn4.

Cell: 5.3276 5.3276 5.3276 Å, 60.00 60.00 60.00°
Last column: magnetic moment on the atom in μB.
Fractional positions:
Zn: 0.6253 0.6253 0.1242  0.02
Zn: 0.6253 0.6253 0.6253  0.02
Zn: 0.6253 0.1242 0.6253  0.02
Zn: 0.1242 0.6253 0.6253  0.02
U: 0.2500 0.2500 0.2500  2.49
Li: 0.0000 0.0000 0.0000  0.01

Properties
Final energy ... -0.21678 Ry/atom
Magnetic moment ... 2.86 μB per formula unit

---

10.
## Li2U2Zn15 (GGA-PBE)

Data for a relaxed structure of Li2U2Zn15.

Cell: 6.7920 6.7920 6.7920 Å, 83.05 83.05 83.05°
Last column: magnetic moment on the atom in μB.
Fractional positions:
Zn: 0.0000 0.0000 0.5000  0.00
Zn: 0.2969 0.7031 0.0000  0.01
Zn: 0.3508 0.3508 0.8433  0.00
Zn: 0.2969 0.0000 0.7031  0.01
Zn: 0.0000 0.2969 0.7031  0.01
Zn: 0.1567 0.6492 0.6492  0.00
Zn: 0.6492 0.6492 0.1567  0.00
Zn: 0.7031 0.2969 0.0000  0.01
Zn: 0.3508 0.8433 0.3508  0.00
Zn: 0.7031 0.0000 0.2969  0.01
Zn: 0.6492 0.1567 0.6492  0.00
Zn: 0.5000 0.0000 0.0000  0.00
Zn: 0.0000 0.7031 0.2969  0.01
Zn: 0.8433 0.3508 0.3508  0.00
Zn: 0.0000 0.5000 0.0000  0.00
Li: 0.1002 0.1002 0.1002  0.01
Li: 0.8998 0.8998 0.8998  0.01
U: 0.6564 0.6564 0.6564  2.47
U: 0.3436 0.3436 0.3436  2.47

Properties
Final energy ... -0.18062 Ry/atom
Magnetic moment ... 5.58 μB per formula unit

---

11.
## LiV4 (GGA-PBE)

Data for a relaxed structure of LiV4.

Cell: 4.1000 4.1000 4.1000 Å, 90.00 90.00 90.00°
Fractional positions:
Li: 0.5000 0.5000 0.5000
V: 0.5000 0.0000 0.5000
V: 0.0000 0.0000 0.0000
V: 0.0000 0.5000 0.5000
V: 0.5000 0.5000 0.0000

Properties
Final energy ... -0.47525 Ry/atom
Magnetic moment ... 0.00 μB per formula unit

---

12.
## LiV2W (GGA-PBE)

Data for a relaxed structure of LiV2W.

Cell: 6.7036 6.7036 5.3833 Å, 51.49 51.49 90.00°
Fractional positions:
W: 0.7500 0.2500 0.5000
W: 0.0000 0.0000 0.0000
V: 0.8750 0.8612 0.7500
V: 0.1388 0.6250 0.2500
V: 0.6112 0.1250 0.2500
V: 0.3750 0.3888 0.7500
Li: 0.5000 0.5000 0.0000
Li: 0.2500 0.7500 0.5000

Properties
Final energy ... -0.55108 Ry/atom
Magnetic moment ... 0.00 μB per formula unit

---

13.
## LiV3W (GGA-PBE)

Data for a relaxed structure of LiV3W.

Cell: 4.6547 4.6547 4.6547 Å, 90.00 90.00 90.00°
Last column: magnetic moment on the atom in μB.
Fractional positions:
V: 0.5000 0.0000 0.0000  0.35
V: 0.0000 0.5000 0.0000  0.35
V: 0.0000 0.0000 0.5000  0.35
Li: 0.5000 0.5000 0.5000  0.00
W: 0.0000 0.0000 0.0000  -0.11

Properties
Final energy ... -0.52220 Ry/atom
Magnetic moment ... 1.12 μB per formula unit

---

14.
## LiV2W (GGA-PBE)

Data for a relaxed structure of LiV2W.

Cell: 4.3007 4.3007 4.3007 Å, 60.00 60.00 60.00°
Fractional positions:
W: 0.5000 0.5000 0.5000
V: 0.7500 0.7500 0.7500
V: 0.2500 0.2500 0.2500
Li: 0.0000 0.0000 0.0000

Properties
Final energy ... -0.58520 Ry/atom
Magnetic moment ... 0.00 μB per formula unit

---

15.
## LiV3W (GGA-PBE)

Data for a relaxed structure of LiV3W.

Cell: 4.1092 4.1092 4.1092 Å, 90.00 90.00 90.00°
Fractional positions:
W: 0.5000 0.5000 0.5000
V: 0.5000 0.0000 0.0000
V: 0.0000 0.5000 0.0000
V: 0.0000 0.0000 0.5000
Li: 0.0000 0.0000 0.0000

Properties
Final energy ... -0.53346 Ry/atom
Magnetic moment ... 0.01 μB per formula unit

---

16.
## Li4Y2V (GGA-PBE)

Data for a relaxed structure of Li4Y2V.

Cell: 4.7670 4.7670 8.6144 Å, 73.94 73.94 90.00°
Last column: magnetic moment on the atom in μB.
Fractional positions:
V: 0.0000 0.0000 0.0000  2.85
Li: 0.8258 0.8258 0.3484  0.02
Li: 0.0000 0.5000 0.0000  0.07
Li: 0.1742 0.1742 0.6516  0.02
Li: 0.5000 0.0000 0.0000  0.07
Y: 0.6165 0.6165 0.7670  -0.08
Y: 0.3835 0.3835 0.2330  -0.08

Properties
Final energy ... -0.26486 Ry/atom
Magnetic moment ... 3.44 μB per formula unit

---

17.
## LiYV3 (GGA-PBE)

Data for a relaxed structure of LiYV3.

Cell: 4.9319 4.9319 4.9319 Å, 90.00 90.00 90.00°
Last column: magnetic moment on the atom in μB.
Fractional positions:
V: 0.0000 0.0000 0.5000  1.99
V: 0.5000 0.0000 0.0000  1.99
V: 0.0000 0.5000 0.0000  1.99
Li: 0.5000 0.5000 0.5000  0.00
Y: 0.0000 0.0000 0.0000  0.11

Properties
Final energy ... -0.38315 Ry/atom
Magnetic moment ... 7.01 μB per formula unit

---

18.
## LiYV3 (GGA-PBE)

Data for a relaxed structure of LiYV3.

Cell: 4.4759 4.4759 4.4759 Å, 90.00 90.00 90.00°
Last column: magnetic moment on the atom in μB.
Fractional positions:
V: 0.0000 0.0000 0.5000  1.46
V: 0.5000 0.0000 0.0000  1.46
V: 0.0000 0.5000 0.0000  1.46
Li: 0.0000 0.0000 0.0000  0.15
Y: 0.5000 0.5000 0.5000  0.16

Properties
Final energy ... -0.44500 Ry/atom
Magnetic moment ... 5.63 μB per formula unit

---

19.
## LiYV2 (GGA-PBE)

Data for a relaxed structure of LiYV2.

Cell: 4.1183 4.1183 10.2759 Å, 78.44 78.44 90.00°
Fractional positions:
V: 0.3750 0.6250 0.7500
V: 0.8750 0.6250 0.7500
V: 0.3750 0.1250 0.2500
V: 0.3750 0.6250 0.2500
Y: 0.0000 0.0000 0.0000
Y: 0.7500 0.2500 0.5000
Li: 0.5000 0.5000 0.0000
Li: 0.2500 0.7500 0.5000

Properties
Final energy ... -0.42615 Ry/atom
Magnetic moment ... 0.00 μB per formula unit

---

20.
## LiVZn3 (GGA-PBE)

Data for a relaxed structure of LiVZn3.

Cell: 4.1690 4.1690 4.1690 Å, 90.00 90.00 90.00°
Last column: magnetic moment on the atom in μB.
Fractional positions:
Zn: 0.0000 0.0000 0.5000  -0.02
Zn: 0.0000 0.5000 0.0000  -0.02
Zn: 0.5000 0.0000 0.0000  -0.02
V: 0.5000 0.5000 0.5000  0.33
Li: 0.0000 0.0000 0.0000  -0.02

Properties
Final energy ... -0.17566 Ry/atom
Magnetic moment ... 0.25 μB per formula unit